Entry 1:
Entry from the Alexandria database: a relaxed structure of Y3SbOs (PBE-GGA).

Cell: 5.339 5.339 5.339 Å, 90.00 90.00 90.00°
Sites, in units of the cell vectors:
Y 0.000 0.500 0.000
Y 0.000 0.000 0.500
Y 0.500 0.000 0.000
Sb 0.500 0.500 0.500
Os 0.000 0.000 0.000

The crystal system is cubic. For the uncorrected formation energy, the calculation gives -0.225 eV per atom. For the total magnetization, the calculation gives 0.00 μB/f.u. The calculation puts the density at 6.316 g/cm³. Its space-group type is Pm-3m.


Entry 2:
Entry from the Alexandria database: a relaxed structure of YSbOs2 (PBE-GGA).

Cell: 4.610 4.610 3.435 Å, 90.00 90.00 90.00°
Sites, in units of the cell vectors:
Os 0.000 0.000 0.000
Os 0.500 0.500 0.000
Sb 0.500 0.000 0.500
Y 0.000 0.500 0.500

The crystal system is tetragonal. For the uncorrected formation energy, the calculation gives 0.115 eV per atom. For the total magnetization, the calculation gives 0.00 μB/f.u. The calculation puts the density at 13.449 g/cm³. Its space-group type is P4/mmm.


Entry 3:
Entry from the Alexandria database: a relaxed structure of YSbOs2 (PBE-GGA).

Cell: 4.430 3.333 5.700 Å, 89.91 90.00 90.00°
Sites, in units of the cell vectors:
Os 0.000 0.249 0.957
Os 0.000 0.251 0.543
Sb 0.500 0.250 0.250
Y 0.500 0.750 0.750

The crystal system is monoclinic. For the uncorrected formation energy, the calculation gives 0.259 eV per atom. For the total magnetization, the calculation gives 0.00 μB/f.u. The calculation puts the density at 11.663 g/cm³. Its space-group type is P2/m.


Entry 4:
Entry from the Alexandria database: a relaxed structure of YbSb12Os4 (PBE-GGA).

Cell: 8.161 8.161 8.161 Å, 109.47 109.47 109.47°
Site moments in Bohr magnetons follow the coordinates.
Sites, in units of the cell vectors:
Yb 0.000 0.000 0.000  -0.15
Sb 0.843 0.661 0.505  0.00
Sb 0.157 0.339 0.495  0.00
Sb 0.157 0.661 0.818  0.00
Sb 0.843 0.339 0.182  0.00
Sb 0.661 0.505 0.843  0.00
Sb 0.339 0.495 0.157  0.00
Sb 0.661 0.818 0.157  0.00
Sb 0.339 0.182 0.843  0.00
Sb 0.505 0.843 0.661  0.00
Sb 0.495 0.157 0.339  0.00
Sb 0.182 0.843 0.339  0.00
Sb 0.818 0.157 0.661  0.00
Os 0.500 0.500 0.500  -0.02
Os 0.500 0.000 0.000  -0.02
Os 0.000 0.500 0.000  -0.02
Os 0.000 0.000 0.500  -0.02

The crystal system is cubic. For the uncorrected formation energy, the calculation gives -0.120 eV per atom. For the total magnetization, the calculation gives 0.30 μB/f.u. The calculation puts the density at 9.506 g/cm³. Its space-group type is Im-3.


Entry 5:
Entry from the Alexandria database: a relaxed structure of ZnSbOs4 (PBE-GGA).

Cell: 5.250 5.250 5.250 Å, 60.00 60.00 60.00°
Sites, in units of the cell vectors:
Zn 0.000 0.000 0.000
Sb 0.750 0.750 0.750
Os 0.875 0.375 0.375
Os 0.375 0.375 0.875
Os 0.375 0.875 0.375
Os 0.375 0.375 0.375

The crystal system is cubic. For the uncorrected formation energy, the calculation gives 0.821 eV per atom. For the total magnetization, the calculation gives 0.00 μB/f.u. The calculation puts the density at 15.384 g/cm³. Its space-group type is F-43m.


Entry 6:
Entry from the Alexandria database: a relaxed structure of Zn2SbOs2 (PBE-GGA).

Cell: 3.737 3.737 6.804 Å, 74.06 74.06 90.00°
Sites, in units of the cell vectors:
Sb 0.000 0.000 0.000
Zn 0.399 0.399 0.203
Zn 0.601 0.601 0.797
Os 0.750 0.250 0.500
Os 0.250 0.750 0.500

The crystal system is tetragonal. For the uncorrected formation energy, the calculation gives 0.695 eV per atom. For the total magnetization, the calculation gives 0.00 μB/f.u. The calculation puts the density at 12.008 g/cm³. Its space-group type is I4/mmm.


total magnetization of number 6 (Zn2SbOs2)? 0.00 μB/f.u.